Record 1
## TaNb3Re3 (PBE-GGA)

Data for a geometry-optimized TaNb3Re3 structure.

a = 6.328 Å, b = 6.328 Å, c = 6.263 Å
α = 90.00°, β = 90.00°, γ = 90.11°
Element x y z (fractional)
Ta (0.245, 0.755, 0.000)
Ta (0.755, 0.245, 0.000)
Nb (0.249, 0.249, 0.500)
Nb (0.268, 0.732, 0.500)
Nb (0.270, 0.270, 0.000)
Nb (0.730, 0.730, 0.000)
Nb (0.732, 0.268, 0.500)
Nb (0.751, 0.751, 0.500)
Re (0.000, 0.000, 0.250)
Re (0.000, 0.000, 0.750)
Re (0.000, 0.500, 0.250)
Re (0.000, 0.500, 0.750)
Re (0.500, 0.000, 0.250)
Re (0.500, 0.000, 0.750)

## Properties
Energy relative to the elements (eV/atom): 0.014
DOS at the Fermi energy (states/eV/f.u.): 4.0
Symmetry: No. 65
Crystal system: orthorhombic

Record 2
## TlHgH2 (PBE-GGA)

Data for a geometry-optimized TlHgH2 structure.

a = 6.501 Å, b = 6.501 Å, c = 6.501 Å
α = 132.87°, β = 132.87°, γ = 68.86°
Element x y z (fractional)
Tl (0.000, 0.000, 0.000)
Tl (0.750, 0.250, 0.500)
Hg (0.250, 0.750, 0.500)
Hg (0.500, 0.500, 0.000)
H (0.264, 0.625, 0.139)
H (0.375, 0.514, 0.639)
H (0.486, 0.125, 0.861)
H (0.875, 0.736, 0.361)

## Properties
VASP energy (eV/atom): -1.999
DOS at the Fermi energy (states/eV/f.u.): 0.9
Symmetry: No. 122
Crystal system: tetragonal

Record 3
## BeTcOsW (PBE-GGA)

Data for a geometry-optimized BeTcOsW structure.

a = 4.272 Å, b = 4.272 Å, c = 4.272 Å
α = 60.00°, β = 60.00°, γ = 60.00°
Element x y z (fractional)
Be (0.000, 0.000, 0.000)
Tc (0.750, 0.750, 0.750)
Os (0.250, 0.250, 0.250)
W (0.500, 0.500, 0.500)

## Properties
Energy relative to the elements (eV/atom): -0.059
DOS at the Fermi energy (states/eV/f.u.): 2.0
Symmetry: No. 216
Crystal system: cubic

Record 4
## CsGa2Sb3 (PBE-GGA)

Data for a geometry-optimized CsGa2Sb3 structure.

a = 9.107 Å, b = 9.107 Å, c = 7.057 Å
α = 90.00°, β = 90.00°, γ = 130.22°
Element x y z (fractional)
Cs (0.189, 0.811, 0.750)
Cs (0.811, 0.189, 0.250)
Ga (0.313, 0.313, 0.000)
Ga (0.313, 0.313, 0.500)
Ga (0.687, 0.687, 0.000)
Ga (0.687, 0.687, 0.500)
Sb (0.080, 0.299, 0.750)
Sb (0.299, 0.080, 0.250)
Sb (0.399, 0.601, 0.250)
Sb (0.601, 0.399, 0.750)
Sb (0.701, 0.920, 0.750)
Sb (0.920, 0.701, 0.250)

## Properties
DOS at the Fermi energy (states/eV/f.u.): 0.4
Symmetry: No. 63
ΔE_f (raw) (eV per atom): -0.212
Crystal system: orthorhombic

Record 5
## CeAl3Ga3 (PBE-GGA)

Data for a geometry-optimized CeAl3Ga3 structure.

a = 8.209 Å, b = 8.209 Å, c = 8.209 Å
α = 90.00°, β = 90.00°, γ = 90.00°
Element x y z (fractional)
Ce (0.023, 0.477, 0.523)
Ce (0.477, 0.523, 0.023)
Ce (0.523, 0.023, 0.477)
Ce (0.977, 0.977, 0.977)
Al (0.115, 0.885, 0.385)
Al (0.128, 0.628, 0.872)
Al (0.193, 0.193, 0.193)
Al (0.307, 0.807, 0.693)
Al (0.372, 0.372, 0.372)
Al (0.385, 0.115, 0.885)
Al (0.615, 0.615, 0.615)
Al (0.628, 0.872, 0.128)
Al (0.693, 0.307, 0.807)
Al (0.807, 0.693, 0.307)
Al (0.872, 0.128, 0.628)
Al (0.885, 0.385, 0.115)
Ga (0.111, 0.622, 0.184)
Ga (0.122, 0.316, 0.889)
Ga (0.184, 0.111, 0.622)
Ga (0.316, 0.889, 0.122)
Ga (0.378, 0.684, 0.389)
Ga (0.389, 0.378, 0.684)
Ga (0.611, 0.878, 0.816)
Ga (0.622, 0.184, 0.111)
Ga (0.684, 0.389, 0.378)
Ga (0.816, 0.611, 0.878)
Ga (0.878, 0.816, 0.611)
Ga (0.889, 0.122, 0.316)

## Properties
Energy relative to the elements (eV/atom): -0.165
DOS at the Fermi energy (states/eV/f.u.): 7.6
Symmetry: No. 198
Crystal system: cubic

Record 6
## NdH11Rh5 (PBE-GGA)

Data for a geometry-optimized NdH11Rh5 structure.

a = 4.421 Å, b = 4.421 Å, c = 7.519 Å
α = 101.78°, β = 101.78°, γ = 88.10°
Element x y z (fractional)
Nd (0.000, 0.000, 0.000)
H (0.000, 0.000, 0.500)
H (0.198, 0.543, 0.124)
H (0.211, 0.569, 0.576)
H (0.254, 0.254, 0.801)
H (0.431, 0.789, 0.424)
H (0.457, 0.802, 0.876)
H (0.543, 0.198, 0.124)
H (0.569, 0.211, 0.576)
H (0.746, 0.746, 0.199)
H (0.789, 0.431, 0.424)
H (0.802, 0.457, 0.876)
Rh (0.079, 0.587, 0.327)
Rh (0.413, 0.921, 0.673)
Rh (0.500, 0.500, 0.000)
Rh (0.587, 0.079, 0.327)
Rh (0.921, 0.413, 0.673)

## Properties
VASP energy (eV/atom): -4.736
DOS at the Fermi energy (states/eV/f.u.): 4.0
Symmetry: No. 12
Crystal system: monoclinic

Record 7
## HoCuNi5Ge2 (PBE-GGA)

Data for a geometry-optimized HoCuNi5Ge2 structure.

a = 3.795 Å, b = 3.795 Å, c = 8.992 Å
α = 90.00°, β = 90.00°, γ = 90.00°
Element x y z (fractional)
Ho (0.000, 0.000, 0.000)
Cu (0.000, 0.000, 0.500)
Ni (0.000, 0.500, 0.221)
Ni (0.000, 0.500, 0.779)
Ni (0.500, 0.000, 0.221)
Ni (0.500, 0.000, 0.779)
Ni (0.500, 0.500, 0.000)
Ge (0.500, 0.500, 0.367)
Ge (0.500, 0.500, 0.633)

## Properties
Energy relative to the elements (eV/atom): -0.113
DOS at the Fermi energy (states/eV/f.u.): 2.1
Symmetry: No. 123
Crystal system: tetragonal

Record 8
## Ac3Ge2Pd4Pb2 (PBE-GGA)

Data for a geometry-optimized Ac3Ge2Pd4Pb2 structure.

a = 4.725 Å, b = 4.725 Å, c = 14.486 Å
α = 90.00°, β = 90.00°, γ = 120.00°
Element x y z (fractional)
Ac (0.000, 0.000, 0.000)
Ac (0.000, 0.000, 0.268)
Ac (0.000, 0.000, 0.732)
Ge (0.333, 0.667, 0.152)
Ge (0.667, 0.333, 0.848)
Pd (0.333, 0.667, 0.363)
Pd (0.333, 0.667, 0.868)
Pd (0.667, 0.333, 0.132)
Pd (0.667, 0.333, 0.637)
Pb (0.333, 0.667, 0.561)
Pb (0.667, 0.333, 0.439)

## Properties
Energy relative to the elements (eV/atom): -0.716
DOS at the Fermi energy (states/eV/f.u.): 3.8
Symmetry: No. 164
Crystal system: trigonal

Record 9
## ZrAg2Se2Cl2 (PBE-GGA)

Data for a geometry-optimized ZrAg2Se2Cl2 structure.

a = 7.701 Å, b = 7.701 Å, c = 5.553 Å
α = 93.64°, β = 93.64°, γ = 30.75°
Element x y z (fractional)
Zr (0.000, 0.000, 0.000)
Ag (0.236, 0.236, 0.811)
Ag (0.764, 0.764, 0.189)
Se (0.154, 0.154, 0.263)
Se (0.846, 0.846, 0.737)
Cl (0.444, 0.444, 0.244)
Cl (0.556, 0.556, 0.756)

## Properties
DOS at the Fermi energy (states/eV/f.u.): 1.0
Symmetry: No. 12
ΔE_f (raw) (eV per atom): -0.760
Crystal system: monoclinic

Record 10
## Sr2CeGe3Pd4 (PBE-GGA)

Data for a geometry-optimized Sr2CeGe3Pd4 structure.

a = 4.459 Å, b = 4.459 Å, c = 11.053 Å
α = 90.00°, β = 90.00°, γ = 90.00°
Element x y z (fractional)
Sr (0.000, 0.500, 0.225)
Sr (0.500, 0.000, 0.775)
Ce (0.000, 0.000, 0.500)
Ge (0.000, 0.500, 0.886)
Ge (0.500, 0.000, 0.114)
Ge (0.500, 0.500, 0.500)
Pd (0.000, 0.000, 0.000)
Pd (0.000, 0.500, 0.659)
Pd (0.500, 0.000, 0.341)
Pd (0.500, 0.500, 0.000)

## Properties
Energy relative to the elements (eV/atom): -0.708
DOS at the Fermi energy (states/eV/f.u.): 10.1
Symmetry: No. 115
Crystal system: tetragonal

Record 11
## Sc2BeAu (PBE-GGA)

Data for a geometry-optimized Sc2BeAu structure.

a = 9.558 Å, b = 9.558 Å, c = 9.558 Å
α = 18.75°, β = 18.75°, γ = 18.75°
Element x y z (fractional)
Sc (0.098, 0.098, 0.098)
Sc (0.902, 0.902, 0.902)
Be (0.500, 0.500, 0.500)
Au (0.000, 0.000, 0.000)

## Properties
Energy relative to the elements (eV/atom): 0.207
DOS at the Fermi energy (states/eV/f.u.): 3.0
Symmetry: No. 166
Crystal system: trigonal

Record 12
## Al2TeOsI (PBE-GGA)

Data for a geometry-optimized Al2TeOsI structure.

a = 5.457 Å, b = 5.457 Å, c = 5.919 Å
α = 90.00°, β = 90.00°, γ = 90.00°
Element x y z (fractional)
Al (0.000, 0.500, 0.000)
Al (0.500, 0.000, 0.000)
Te (0.000, 0.000, 0.000)
Os (0.500, 0.500, 0.500)
I (0.000, 0.000, 0.500)

## Properties
DOS at the Fermi energy (states/eV/f.u.): 4.2
Symmetry: No. 123
ΔE_f (raw) (eV per atom): 1.874
Crystal system: tetragonal

Record order is preserved below.
V: 17.913 18.113 13.778 37.239 19.755 8.286 14.386 25.458 24.006 21.971 19.707 35.251 Å³/atom